A relaxed PaVRe crystal, computed with GGA-PBE.

Calculated values
formation enthalpy at 0 K: 0.031 eV/atom
calculated total energy: -10.323 eV/atom
relative energy among the computed polymorphs: 166.6 meV per atom

a b c (Å): 6.1542 6.1542 6.1542
angles (deg): 151.06 151.06 41.38
Closest atoms and distances in Å follow each position.
Sites, in units of the cell vectors:
Pa 0.0000 0.0000 0.0000  4 Re 3.06, 4 Pa 3.08, 4 V 3.16
V 0.3014 0.3014 0.0000  4 Re 2.54
Re 0.6872 0.6872 0.0000  4 V 2.54

---

A relaxed Al2CoBr crystal, computed with GGA-PBE.

Calculated values
calculated total energy: -3.441 eV/atom
formation energy without anion corrections: 0.625 eV/atom
relative energy among the computed polymorphs: 836.3 meV per atom

a b c (Å): 4.5955 4.5955 4.5955
angles (deg): 60.00 60.00 60.00
Closest atoms and distances in Å follow each position.
Sites, in units of the cell vectors:
Al 0.0000 0.0000 0.0000  4 Br 2.81, 4 Al 2.81
Al 0.2500 0.2500 0.2500  4 Co 2.81, 4 Al 2.81
Co 0.5000 0.5000 0.5000  4 Br 2.81, 4 Al 2.81
Br 0.7500 0.7500 0.7500  4 Co 2.81, 4 Al 2.81

---

A relaxed FeReSBr2 crystal, computed with GGA-PBE.

Calculated values
calculated total energy: -4.860 eV/atom
formation energy without anion corrections: 0.817 eV/atom

a b c (Å): 5.2878 5.2878 4.4120
angles (deg): 90.00 90.00 90.00
Closest atoms and distances in Å follow each position.
Sites, in units of the cell vectors:
Fe 0.0000 0.0000 0.0000  8 Br 3.44, 4 S 3.74
Re 0.5000 0.5000 0.5000  2 S 2.21
S 0.5000 0.5000 0.0000  2 Re 2.21
Br 0.0000 0.5000 0.5000  2 Re 2.64
Br 0.5000 0.0000 0.5000  2 Re 2.64